Entry 1:
The following is a DFT calculation (PBE-GGA) of a relaxed Be3AlPb crystal.

Cell: 4.488 4.488 4.488 Å, 90.00 90.00 90.00°
Space group Pm-3m (No. 221)
Symmetry-distinct sites (fractional):
Be: 0.000 0.000 0.500 [3 per cell]
Al: 0.000 0.000 0.000 [1 per cell]
Pb: 0.500 0.500 0.500 [1 per cell]

Properties
Energy relative to the elements in eV/atom: 0.991
Excess energy over the best structure of this formula in the dataset in eV/atom: 0.000
ρ in g cm⁻³: 4.8
Magnetization in μB per formula unit: 0.000
V in Å³/cell: 90.4

***

Entry 2:
The following is a DFT calculation (PBE-GGA) of a relaxed BeAlPb crystal.

Cell: 3.598 3.599 10.682 Å, 83.53 83.55 60.30°
Space group P1 (No. 1)
Symmetry-distinct sites (fractional):
Be: 0.000 0.000 0.000 [1 per cell]
Be: 0.335 0.335 0.999 [1 per cell]
Al: 0.637 0.637 0.128 [1 per cell]
Al: 0.697 0.697 0.871 [1 per cell]
Pb: 0.140 0.141 0.637 [1 per cell]
Pb: 0.887 0.892 0.361 [1 per cell]

Properties
Energy relative to the elements in eV/atom: 0.144
Excess energy over the best structure of this formula in the dataset in eV/atom: 0.008
ρ in g cm⁻³: 6.8
Magnetization in μB per formula unit: 0.000
V in Å³/cell: 119.1

***

Entry 3:
The following is a DFT calculation (PBE-GGA) of a relaxed Be2AlPb crystal.

Cell: 2.985 3.006 7.679 Å, 90.00 90.00 90.00°
Space group Pmm2 (No. 25)
Symmetry-distinct sites (fractional):
Be: 0.000 0.000 0.000 [1 per cell]
Be: 0.500 0.500 0.122 [1 per cell]
Al: 0.000 0.000 0.326 [1 per cell]
Pb: 0.500 0.500 0.718 [1 per cell]

Properties
Energy relative to the elements in eV/atom: 0.503
Excess energy over the best structure of this formula in the dataset in eV/atom: 0.227
ρ in g cm⁻³: 6.1
Magnetization in μB per formula unit: 0.000
V in Å³/cell: 68.9